A geometry-optimized SmTmSc2 structure. Source: the Alexandria database, functional PBE.

```
SmTmSc2
1.0
3.4700 0.0000 0.0000
0.0000 4.6385 0.0000
0.0000 0.0000 6.9486
Sm Tm Sc
1 1 2
direct
0.0000 0.0000 0.0000
0.0000 0.0000 0.5000
0.5000 0.5000 0.2548
0.5000 0.5000 0.7452
```

Values from the calculation:
Energy of formation from the pure elements   5.15 kJ per mole of atoms
DFT total energy   -0.1988 hartree per atom

A geometry-optimized Cd2In5Hg5 structure. Source: the Alexandria database, functional PBE.

```
Cd2In5Hg5
1.0
6.8807 -2.4755 0.0000
6.8807 2.4755 0.0000
-4.7616 0.0000 9.0946
Cd In Hg
2 5 5
direct
0.0860 0.0860 0.2559
0.9140 0.9140 0.7441
0.3378 0.3378 0.5082
0.4052 0.4052 0.2410
0.5000 0.5000 0.0000
0.5948 0.5948 0.7590
0.6622 0.6622 0.4918
0.0000 0.0000 0.5000
0.1567 0.1567 0.9957
0.2532 0.2532 0.7537
0.7468 0.7468 0.2463
0.8433 0.8433 0.0043
```

Values from the calculation:
Energy of formation from the pure elements   1.47 kJ per mole of atoms
DFT total energy   -0.0516 hartree per atom

A geometry-optimized ReH2Rh2 structure. Source: the Alexandria database, functional PBE.

```
ReH2Rh2
1.0
-1.3931 1.3931 6.3080
1.3931 -1.3931 6.3080
1.3931 1.3931 -6.3080
Re H Rh
1 2 2
direct
0.0000 0.0000 0.0000
0.2500 0.7500 0.5000
0.7500 0.2500 0.5000
0.3512 0.3512 0.0000
0.6488 0.6488 0.0000
```

Values from the calculation:
DFT total energy   -0.2494 hartree per atom

A geometry-optimized SrRe2Ir structure. Source: the Alexandria database, functional PBE.

```
SrRe2Ir
1.0
4.4872 -1.4897 0.0000
4.4872 1.4897 0.0000
-1.1894 0.0000 6.2574
Sr Re Ir
1 2 1
direct
0.0000 0.0000 0.0000
0.2179 0.2179 0.6238
0.4919 0.4919 0.5118
0.7672 0.7672 0.3101
```

Values from the calculation:
Energy of formation from the pure elements   54.22 kJ per mole of atoms
DFT total energy   -0.3049 hartree per atom

DFT total energy of number 2 (Cd2In5Hg5)?
-0.0516 hartree per atom

Which of these has the highest DFT total energy?
Cd2In5Hg5

Which of these has the lowest DFT total energy?
SrRe2Ir

What is the formula in the third record?
ReH2Rh2